Below is a geometry-optimized LaTbYCd structure, with properties calculated at the PBE level.

Lattice parameters (Å, degrees): 3.671 3.671 9.102 90.00 90.00 90.00
Sites, in units of the cell vectors:
La 0.000 0.000 0.070
Tb 0.500 0.500 0.788
Y 0.500 0.500 0.356
Cd 0.000 0.000 0.571

SG: P4mm (99)
ΔE_f: -0.15 eV/atom

---

Below is a geometry-optimized VSbI3 structure, with properties calculated at the PBE level.

Lattice parameters (Å, degrees): 5.496 5.496 5.496 90.00 90.00 90.00
Site moments in Bohr magnetons follow the coordinates.
Sites, in units of the cell vectors:
I 0.000 0.500 0.000  -0.03
I 0.000 0.000 0.500  -0.03
I 0.500 0.000 0.000  -0.03
Sb 0.500 0.500 0.500  0.14
V 0.000 0.000 0.000  2.51

ΔE_f (raw): 0.23 eV per atom
SG: Pm-3m (221)

---

Number 1: total magnetization 0.00 μB per formula unit, DOS at the Fermi energy 6.05 states/eV per cell. Number 2: total magnetization 3.18 μB per formula unit, DOS at the Fermi energy 4.26 states/eV per cell.